#A
Here is Zr6InHg after structural relaxation from Alexandria via LeMat-Bulk. Energies are from GGA-PBE.

The structure in CIF format:
```
data_Zr6InHg
_cell_length_a 5.623
_cell_length_b 5.623
_cell_length_c 5.623
_cell_angle_alpha 90.00
_cell_angle_beta 90.00
_cell_angle_gamma 90.00
_space_group_name_H-M_alt 'P m -3'
_space_group_IT_number 200
_space_group_name_Hall '-P 2 2 3'
loop_
_atom_site_label
_atom_site_type_symbol
_atom_site_fract_x
_atom_site_fract_y
_atom_site_fract_z
Zr1 Zr 0.000 0.251 0.500
In1 In 0.000 0.000 0.000
Hg1 Hg 0.500 0.500 0.500
```

#B
Here is Zr6InHg after structural relaxation from Alexandria via LeMat-Bulk. Energies are from GGA-PBE.

The structure in CIF format:
```
data_Zr6InHg
_cell_length_a 4.460
_cell_length_b 4.460
_cell_length_c 8.914
_cell_angle_alpha 90.00
_cell_angle_beta 90.00
_cell_angle_gamma 90.00
_space_group_name_H-M_alt 'P 4/m m m'
_space_group_IT_number 123
_space_group_name_Hall '-P 4 2'
loop_
_atom_site_label
_atom_site_type_symbol
_atom_site_fract_x
_atom_site_fract_y
_atom_site_fract_z
Zr1 Zr 0.000 0.000 0.000
Zr2 Zr 0.000 0.000 0.500
Zr3 Zr 0.000 0.500 0.249
In1 In 0.500 0.500 0.500
Hg1 Hg 0.500 0.500 0.000
```

Least stable of them? #B.

#A
Here is Zr6In3Hg after structural relaxation from Alexandria via LeMat-Bulk. Energies are from GGA-PBE.

The structure in CIF format:
```
data_Zr6In3Hg
_cell_length_a 7.776
_cell_length_b 7.375
_cell_length_c 10.902
_cell_angle_alpha 90.00
_cell_angle_beta 131.15
_cell_angle_gamma 90.00
_space_group_name_H-M_alt 'P 1 21/c 1'
_space_group_IT_number 14
loop_
_space_group_symop_operation_xyz
'x,y,z'
'-x,-y,-z'
'-x,y+1/2,-z+1/2'
'x,-y+1/2,z+1/2'
loop_
_atom_site_label
_atom_site_type_symbol
_atom_site_fract_x
_atom_site_fract_y
_atom_site_fract_z
Zr1 Zr 0.054 0.151 0.313
Zr2 Zr 0.254 0.175 0.688
Zr3 Zr 0.408 0.627 0.856
In1 In 0.260 0.675 0.052
In2 In 0.500 0.000 0.000
Hg1 Hg 0.000 0.000 0.000
```

#B
Here is Zr6In3Hg after structural relaxation from Alexandria via LeMat-Bulk. Energies are from GGA-PBE.

The structure in CIF format:
```
data_Zr6In3Hg
_cell_length_a 8.570
_cell_length_b 5.165
_cell_length_c 10.967
_cell_angle_alpha 90.00
_cell_angle_beta 112.78
_cell_angle_gamma 90.00
_space_group_name_H-M_alt 'P 1 21/m 1'
_space_group_IT_number 11
loop_
_space_group_symop_operation_xyz
'x,y,z'
'-x,-y,-z'
'-x,y+1/2,-z'
'x,-y+1/2,z'
loop_
_atom_site_label
_atom_site_type_symbol
_atom_site_fract_x
_atom_site_fract_y
_atom_site_fract_z
Zr1 Zr 0.019 0.250 0.174
Zr2 Zr 0.020 0.250 0.672
Zr3 Zr 0.190 0.750 0.635
Zr4 Zr 0.225 0.250 0.970
Zr5 Zr 0.377 0.750 0.429
Zr6 Zr 0.427 0.250 0.772
In1 In 0.174 0.750 0.128
In2 In 0.206 0.250 0.474
In3 In 0.413 0.250 0.276
Hg1 Hg 0.384 0.750 0.927
```

Least stable of them? #A.

#A
Here is ZrIn3Hg after structural relaxation from Alexandria via LeMat-Bulk. Energies are from GGA-PBE.

The structure in CIF format:
```
data_ZrIn3Hg
_cell_length_a 5.713
_cell_length_b 5.713
_cell_length_c 5.713
_cell_angle_alpha 90.00
_cell_angle_beta 90.00
_cell_angle_gamma 90.00
_space_group_name_H-M_alt 'P m -3 m'
_space_group_IT_number 221
_space_group_name_Hall '-P 4 2 3'
loop_
_atom_site_label
_atom_site_type_symbol
_atom_site_fract_x
_atom_site_fract_y
_atom_site_fract_z
Zr1 Zr 0.000 0.000 0.000
In1 In 0.000 0.000 0.500
Hg1 Hg 0.500 0.500 0.500
```

#B
Here is ZrIn3Hg after structural relaxation from Alexandria via LeMat-Bulk. Energies are from GGA-PBE.

The structure in CIF format:
```
data_ZrIn3Hg
_cell_length_a 5.366
_cell_length_b 5.366
_cell_length_c 5.366
_cell_angle_alpha 90.00
_cell_angle_beta 90.00
_cell_angle_gamma 90.00
_space_group_name_H-M_alt 'P m -3 m'
_space_group_IT_number 221
_space_group_name_Hall '-P 4 2 3'
loop_
_atom_site_label
_atom_site_type_symbol
_atom_site_fract_x
_atom_site_fract_y
_atom_site_fract_z
Zr1 Zr 0.000 0.000 0.000
In1 In 0.000 0.500 0.500
Hg1 Hg 0.500 0.500 0.500
```

Least stable of them? #B.